# PBE-GGA Sc2ReCl, optimized geometry
# Distance to the lowest polymorph of the same formula = 737 meV/atom
# ΔE_f (raw) = 2 kJ/mol of atoms
# Calculated total energy = -26.88 eV per cell
data_Sc2ReCl
_chemical_formula_sum 'Sc2 Re1 Cl1'
_space_group_name_H-M_alt 'P 4 m m'
_space_group_IT_number 99
_cell_length_a 2.974
_cell_length_b 2.974
_cell_length_c 10.110
_cell_angle_alpha 90.00
_cell_angle_beta 90.00
_cell_angle_gamma 90.00
loop_
_space_group_symop_operation_xyz
'x,y,z'
'-y,x,z'
'-x,-y,z'
'y,-x,z'
'-x,y,z'
'y,x,z'
'x,-y,z'
'-y,-x,z'
loop_
_atom_site_label
_atom_site_type_symbol
_atom_site_fract_x
_atom_site_fract_y
_atom_site_fract_z
Sc1 Sc 0.000 0.000 0.000
Sc2 Sc 0.500 0.500 0.279
Re1 Re 0.500 0.500 0.812
Cl1 Cl 0.000 0.000 0.431

# PBE-GGA Sc2ReCl, optimized geometry
# Distance to the lowest polymorph of the same formula = 823 meV/atom
# ΔE_f (raw) = 10 kJ/mol of atoms
# Calculated total energy = -53.07 eV per cell
data_Sc2ReCl
_chemical_formula_sum 'Sc4 Re2 Cl2'
_space_group_name_H-M_alt 'I -4 m 2'
_space_group_IT_number 119
_space_group_name_Hall 'I -4 -2'
_cell_length_a 3.788
_cell_length_b 3.788
_cell_length_c 10.389
_cell_angle_alpha 90.00
_cell_angle_beta 90.00
_cell_angle_gamma 90.00
loop_
_atom_site_label
_atom_site_type_symbol
_atom_site_fract_x
_atom_site_fract_y
_atom_site_fract_z
Sc1 Sc 0.000 0.000 0.000
Sc2 Sc 0.000 0.500 0.250
Re1 Re 0.000 0.000 0.500
Cl1 Cl 0.000 0.500 0.750

# PBE-GGA Sc2ReCl, optimized geometry
# Distance to the lowest polymorph of the same formula = 686 meV/atom
# ΔE_f (raw) = -3 kJ/mol of atoms
# Calculated total energy = -81.26 eV per cell
data_Sc2ReCl
_chemical_formula_sum 'Sc6 Re3 Cl3'
_space_group_name_H-M_alt 'R 3 m'
_space_group_IT_number 160
_space_group_name_Hall 'R 3 -2"'
_cell_length_a 3.1304
_cell_length_b 3.1304
_cell_length_c 30.6201
_cell_angle_alpha 90.00
_cell_angle_beta 90.00
_cell_angle_gamma 120.00
loop_
_atom_site_label
_atom_site_type_symbol
_atom_site_fract_x
_atom_site_fract_y
_atom_site_fract_z
Sc1 Sc 0.0000 0.0000 0.0000
Sc2 Sc 0.0000 0.0000 0.2403
Re1 Re 0.0000 0.0000 0.5076
Cl1 Cl 0.0000 0.0000 0.7243

# PBE-GGA ScReCl2, optimized geometry
# Distance to the lowest polymorph of the same formula = 971 meV/atom
# ΔE_f (raw) = 43 kJ/mol of atoms
# Calculated total energy = -82.70 eV per cell
data_ScReCl2
_chemical_formula_sum 'Sc4 Re4 Cl8'
_space_group_name_H-M_alt 'F m -3 m'
_space_group_IT_number 225
_space_group_name_Hall '-F 4 2 3'
_cell_length_a 6.363
_cell_length_b 6.363
_cell_length_c 6.363
_cell_angle_alpha 90.00
_cell_angle_beta 90.00
_cell_angle_gamma 90.00
loop_
_atom_site_label
_atom_site_type_symbol
_atom_site_fract_x
_atom_site_fract_y
_atom_site_fract_z
Sc1 Sc 0.000 0.000 0.000
Re1 Re 0.000 0.000 0.500
Cl1 Cl 0.250 0.250 0.250

# PBE-GGA ScRe2Cl, optimized geometry
# Distance to the lowest polymorph of the same formula = 997 meV/atom
# ΔE_f (raw) = 71 kJ/mol of atoms
# Calculated total energy = -30.13 eV per cell
data_ScRe2Cl
_chemical_formula_sum 'Sc1 Re2 Cl1'
_space_group_name_H-M_alt 'P 4/m m m'
_space_group_IT_number 123
_space_group_name_Hall '-P 4 2'
_cell_length_a 2.775
_cell_length_b 2.775
_cell_length_c 8.726
_cell_angle_alpha 90.00
_cell_angle_beta 90.00
_cell_angle_gamma 90.00
loop_
_atom_site_label
_atom_site_type_symbol
_atom_site_fract_x
_atom_site_fract_y
_atom_site_fract_z
Sc1 Sc 0.000 0.000 0.000
Re1 Re 0.500 0.500 0.253
Cl1 Cl 0.000 0.000 0.500

# PBE-GGA ScReCl, optimized geometry
# Distance to the lowest polymorph of the same formula = 1009 meV/atom
# ΔE_f (raw) = 84 kJ/mol of atoms
# Calculated total energy = -72.07 eV per cell
data_ScReCl
_chemical_formula_sum 'Sc4 Re4 Cl4'
_space_group_name_H-M_alt 'F -4 3 m'
_space_group_IT_number 216
_space_group_name_Hall 'F -4 2 3'
_cell_length_a 6.077
_cell_length_b 6.077
_cell_length_c 6.077
_cell_angle_alpha 90.00
_cell_angle_beta 90.00
_cell_angle_gamma 90.00
loop_
_atom_site_label
_atom_site_type_symbol
_atom_site_fract_x
_atom_site_fract_y
_atom_site_fract_z
Sc1 Sc 0.000 0.000 0.000
Re1 Re 0.000 0.000 0.500
Cl1 Cl 0.250 0.250 0.250